First-principles (PBE) data for an optimized crystal structure of Dy2ErNi9, as listed in OQMD.

Values from the calculation:
* raw total energy: -5.744 eV/atom

Lattice parameters (Å, degrees): 4.9295 4.9295 24.2876 90.00 90.00 120.00
Space group R-3m (No. 166, hexagonal axes)
Unique sites:
Dy  0.0000  0.0000  0.1389 [6 per cell]
Er  0.0000  0.0000  0.0000 [3 per cell]
Ni  0.0000  0.0000  0.3331 [6 per cell]
Ni  0.0000  0.0000  0.5000 [3 per cell]
Ni  0.0009  0.5004  0.9180 [18 per cell]